1.
Material: K2NaMnO4
Method: DFT, PBE with a Hubbard U
State: optimized geometry

Cell lengths 7.809, 7.809, 10.155 Å; angles 110.68, 110.68, 94.68 degrees
Site moments in Bohr magnetons follow the coordinates.
Element x y z (fractional)
K (0.057, 0.307, 0.250)  0.00
K (0.693, 0.943, 0.250)  0.00
K (0.307, 0.057, 0.750)  0.00
K (0.735, 0.485, 0.971)  0.00
K (0.485, 0.735, 0.471)  0.00
K (0.265, 0.515, 0.029)  0.00
K (0.943, 0.693, 0.750)  0.00
K (0.515, 0.265, 0.529)  0.00
Na (0.716, 0.966, 0.933)  0.00
Na (0.966, 0.716, 0.433)  0.00
Na (0.284, 0.034, 0.067)  0.00
Na (0.034, 0.284, 0.567)  0.00
Mn (0.869, 0.131, 0.750)  1.98
Mn (0.131, 0.869, 0.250)  1.98
Mn (0.619, 0.381, 0.250)  1.98
Mn (0.381, 0.619, 0.750)  1.98
O (0.918, 0.357, 0.763)  -0.01
O (0.357, 0.918, 0.263)  -0.01
O (0.616, 0.204, 0.089)  -0.01
O (0.082, 0.643, 0.237)  -0.01
O (0.384, 0.796, 0.911)  -0.01
O (0.204, 0.616, 0.589)  -0.01
O (0.885, 0.972, 0.589)  -0.01
O (0.643, 0.082, 0.737)  -0.01
O (0.972, 0.885, 0.089)  -0.01
O (0.406, 0.344, 0.263)  -0.01
O (0.656, 0.594, 0.237)  -0.01
O (0.344, 0.406, 0.763)  -0.01
O (0.594, 0.656, 0.737)  -0.01
O (0.028, 0.115, 0.911)  -0.01
O (0.796, 0.384, 0.411)  -0.01
O (0.115, 0.028, 0.411)  -0.01

## Properties
- Mass density: 2.8 g/cm3
- Space-group type: Fddd (70)

2.
Material: K2NaMnO4
Method: DFT, PBE with a Hubbard U
State: optimized geometry

Cell lengths 5.433, 6.323, 10.837 Å; angles 83.82, 75.48, 64.56 degrees
Site moments in Bohr magnetons follow the coordinates.
Element x y z (fractional)
K (0.184, 0.000, 0.631)  0.00
K (0.816, 0.000, 0.369)  0.00
K (0.566, 0.500, 0.869)  0.00
K (0.934, 0.500, 0.131)  0.00
Na (0.750, 0.500, 0.500)  0.00
Na (0.000, 0.000, 0.000)  0.00
Mn (0.250, 0.500, 0.500)  1.99
Mn (0.500, 0.000, 0.000)  1.99
O (0.361, 0.817, 0.089)  -0.01
O (0.268, 0.183, 0.911)  -0.01
O (0.822, 0.817, 0.911)  -0.01
O (0.550, 0.183, 0.089)  -0.01
O (0.389, 0.683, 0.411)  -0.01
O (0.482, 0.317, 0.589)  -0.01
O (0.928, 0.683, 0.589)  -0.01
O (0.200, 0.317, 0.411)  -0.01

## Properties
- Mass density: 2.2 g/cm3
- Space-group type: Fddd (70)

What is the least stable structure shown above? It is 2.